The following is a DFT calculation (PBE) of a geometry-optimized Cd2SnPb2 structure.

```
Cd2SnPb2
1.0
3.890 0.000 0.000
0.000 3.890 0.000
0.000 0.000 18.377
Cd Sn Pb
4 2 4
Direct
0.000 0.000 0.208
0.000 0.000 0.792
0.500 0.500 0.292
0.500 0.500 0.708
0.000 0.000 0.000
0.500 0.500 0.500
0.000 0.000 0.391
0.000 0.000 0.609
0.500 0.500 0.109
0.500 0.500 0.891
```

## Properties
Final energy, eV for the cell shown: -25.764
V, Å³ per atom: 27.80
Offset from the most stable computed form, eV per formula unit: 0.08
ΔE_f, eV/f.u.: 0.37



The following is a DFT calculation (PBE) of a geometry-optimized CdSn6Pb2 structure.

```
CdSn6Pb2
1.0
6.068 -3.511 0.000
6.068 3.511 0.000
-0.047 0.000 6.150
Cd Sn Pb
1 6 2
Direct
0.000 0.000 0.000
0.183 0.183 0.683
0.185 0.632 0.682
0.368 0.815 0.318
0.632 0.185 0.682
0.815 0.368 0.318
0.817 0.817 0.317
0.332 0.332 0.188
0.668 0.668 0.812
```

## Properties
Final energy, eV for the cell shown: -31.661
V, Å³ per atom: 29.11
Offset from the most stable computed form, eV per formula unit: 0.10
ΔE_f, eV/f.u.: 0.69



The following is a DFT calculation (PBE) of a geometry-optimized Cd2Sn5Pb12 structure.

```
Cd2Sn5Pb12
1.0
8.769 -3.698 0.000
8.769 3.698 0.000
-0.086 0.000 9.742
Cd Sn Pb
2 5 12
Direct
0.190 0.810 0.000
0.810 0.190 0.000
0.148 0.148 0.119
0.211 0.211 0.615
0.500 0.500 0.500
0.789 0.789 0.385
0.852 0.852 0.881
0.030 0.030 0.671
0.080 0.548 0.138
0.115 0.610 0.613
0.390 0.885 0.387
0.452 0.920 0.862
0.474 0.474 0.190
0.526 0.526 0.810
0.548 0.080 0.138
0.610 0.115 0.613
0.885 0.390 0.387
0.920 0.452 0.862
0.970 0.970 0.329
```

## Properties
Final energy, eV for the cell shown: -64.282
V, Å³ per atom: 33.25
Offset from the most stable computed form, eV per formula unit: 0.81
ΔE_f, eV/f.u.: 2.06



Q: offset from the most stable computed form of number 3 (Cd2Sn5Pb12)?
A: 0.81 eV per formula unit



What did the second record say?
The following is a DFT calculation (PBE) of a geometry-optimized CdSn6Pb2 structure.

```
CdSn6Pb2
1.0
6.068 -3.511 0.000
6.068 3.511 0.000
-0.047 0.000 6.150
Cd Sn Pb
1 6 2
Direct
0.000 0.000 0.000
0.183 0.183 0.683
0.185 0.632 0.682
0.368 0.815 0.318
0.632 0.185 0.682
0.815 0.368 0.318
0.817 0.817 0.317
0.332 0.332 0.188
0.668 0.668 0.812
```

## Properties
Final energy, eV for the cell shown: -31.661
V, Å³ per atom: 29.11
Offset from the most stable computed form, eV per formula unit: 0.10
ΔE_f, eV/f.u.: 0.69